# ZrPaTiW GGA-PBE optimized geometry
# ρ ... 11486 kg/m³
# Space-group type ... F-43m, No. 216
data_ZrPaTiW
_symmetry_space_group_name_H-M 'P 1'
_symmetry_Int_Tables_number 1
_cell_length_a 4.838
_cell_length_b 4.838
_cell_length_c 4.838
_cell_angle_alpha 60.00
_cell_angle_beta 60.00
_cell_angle_gamma 60.00
loop_
_symmetry_equiv_pos_as_xyz
'x,y,z'
loop_
_atom_site_label
_atom_site_fract_x
_atom_site_fract_y
_atom_site_fract_z
_atom_site_occupancy
Zr1 0.000 0.000 0.000 1
Pa1 0.500 0.500 0.500 1
Ti1 0.750 0.750 0.750 1
W1 0.250 0.250 0.250 1



# YPaTi GGA-PBE optimized geometry
# ρ ... 8263 kg/m³
# Space-group type ... P-3m1, No. 164
data_YPaTi
_symmetry_space_group_name_H-M 'P 1'
_symmetry_Int_Tables_number 1
_cell_length_a 5.153
_cell_length_b 5.153
_cell_length_c 6.430
_cell_angle_alpha 90.00
_cell_angle_beta 90.00
_cell_angle_gamma 120.00
loop_
_symmetry_equiv_pos_as_xyz
'x,y,z'
loop_
_atom_site_label
_atom_site_fract_x
_atom_site_fract_y
_atom_site_fract_z
_atom_site_occupancy
Y1 0.333 0.667 0.030 1
Y2 0.667 0.333 0.970 1
Pa1 0.000 0.000 0.293 1
Pa2 0.000 0.000 0.707 1
Ti1 0.333 0.667 0.519 1
Ti2 0.667 0.333 0.481 1



# Pa2TiZn6 GGA-PBE optimized geometry
# ρ ... 9198 kg/m³
# Space-group type ... P6/mmm, No. 191
data_Pa2TiZn6
_symmetry_space_group_name_H-M 'P 1'
_symmetry_Int_Tables_number 1
_cell_length_a 7.850
_cell_length_b 7.850
_cell_length_c 3.053
_cell_angle_alpha 90.00
_cell_angle_beta 90.00
_cell_angle_gamma 120.00
loop_
_symmetry_equiv_pos_as_xyz
'x,y,z'
loop_
_atom_site_label
_atom_site_fract_x
_atom_site_fract_y
_atom_site_fract_z
_atom_site_occupancy
Pa1 0.333 0.667 0.000 1
Pa2 0.667 0.333 0.000 1
Ti1 0.000 0.000 0.000 1
Zn1 0.000 0.319 0.500 1
Zn2 0.000 0.681 0.500 1
Zn3 0.319 0.000 0.500 1
Zn4 0.319 0.319 0.500 1
Zn5 0.681 0.000 0.500 1
Zn6 0.681 0.681 0.500 1



# PaTi5Zn4 GGA-PBE optimized geometry
# ρ ... 7309 kg/m³
# Space-group type ... P4/mmm, No. 123
data_PaTi5Zn4
_symmetry_space_group_name_H-M 'P 1'
_symmetry_Int_Tables_number 1
_cell_length_a 3.331
_cell_length_b 3.331
_cell_length_c 14.987
_cell_angle_alpha 90.00
_cell_angle_beta 90.00
_cell_angle_gamma 90.00
loop_
_symmetry_equiv_pos_as_xyz
'x,y,z'
loop_
_atom_site_label
_atom_site_fract_x
_atom_site_fract_y
_atom_site_fract_z
_atom_site_occupancy
Pa1 0.000 0.000 0.000 1
Ti1 0.500 0.500 0.110 1
Ti2 0.500 0.500 0.311 1
Ti3 0.500 0.500 0.500 1
Ti4 0.500 0.500 0.689 1
Ti5 0.500 0.500 0.890 1
Zn1 0.000 0.000 0.213 1
Zn2 0.000 0.000 0.404 1
Zn3 0.000 0.000 0.596 1
Zn4 0.000 0.000 0.787 1



# PaTiZn17 GGA-PBE optimized geometry
# ρ ... 7771 kg/m³
# Space-group type ... R3m, No. 160
data_PaTiZn17
_symmetry_space_group_name_H-M 'P 1'
_symmetry_Int_Tables_number 1
_cell_length_a 6.724
_cell_length_b 6.724
_cell_length_c 6.724
_cell_angle_alpha 82.72
_cell_angle_beta 82.72
_cell_angle_gamma 82.72
loop_
_symmetry_equiv_pos_as_xyz
'x,y,z'
loop_
_atom_site_label
_atom_site_fract_x
_atom_site_fract_y
_atom_site_fract_z
_atom_site_occupancy
Pa1 0.000 0.000 0.000 1
Ti1 0.337 0.337 0.337 1
Zn1 0.028 0.028 0.484 1
Zn2 0.028 0.484 0.028 1
Zn3 0.153 0.676 0.676 1
Zn4 0.313 0.313 0.806 1
Zn5 0.313 0.806 0.313 1
Zn6 0.367 0.658 0.968 1
Zn7 0.367 0.968 0.658 1
Zn8 0.484 0.028 0.028 1
Zn9 0.557 0.557 0.557 1
Zn10 0.658 0.367 0.968 1
Zn11 0.658 0.968 0.367 1
Zn12 0.676 0.153 0.676 1
Zn13 0.676 0.676 0.153 1
Zn14 0.759 0.759 0.759 1
Zn15 0.806 0.313 0.313 1
Zn16 0.968 0.367 0.658 1
Zn17 0.968 0.658 0.367 1



# ZrPaTiZn GGA-PBE optimized geometry
# ρ ... 9166 kg/m³
# Space-group type ... F-43m, No. 216
data_ZrPaTiZn
_symmetry_space_group_name_H-M 'P 1'
_symmetry_Int_Tables_number 1
_cell_length_a 4.814
_cell_length_b 4.814
_cell_length_c 4.814
_cell_angle_alpha 60.00
_cell_angle_beta 60.00
_cell_angle_gamma 60.00
loop_
_symmetry_equiv_pos_as_xyz
'x,y,z'
loop_
_atom_site_label
_atom_site_fract_x
_atom_site_fract_y
_atom_site_fract_z
_atom_site_occupancy
Zr1 0.000 0.000 0.000 1
Pa1 0.250 0.250 0.250 1
Ti1 0.500 0.500 0.500 1
Zn1 0.750 0.750 0.750 1



What are the formation energy from the elements values for these records? In order: 46; 75; -70; -61; -105; 52 kJ/mol of formula units.